Entry 1:
# CeNd2TmN4

Crystalline CeNd2TmN4 at its relaxed geometry (PBE-GGA, Alexandria via LeMat-Bulk).

a = 6.147 Å, b = 3.567 Å, c = 6.183 Å
α = 90.00°, β = 109.24°, γ = 90.00°
Atoms (fractional coordinates):
Ce1 0.000 0.000 0.000
Nd1 0.000 0.500 0.500
Nd2 0.500 0.000 0.500
Tm1 0.500 0.500 0.000
N1 0.246 0.500 0.233
N2 0.255 0.000 0.768
N3 0.745 0.000 0.232
N4 0.754 0.500 0.767

Results
Spin magnetization: 0.00 μB/f.u.
Space-group type: P2/m, No. 10
E_form (uncorrected): -1.5059 eV/atom

=====

Entry 2:
# HoAlBr6

Crystalline HoAlBr6 at its relaxed geometry (PBE-GGA, Alexandria via LeMat-Bulk).

a = 7.561 Å, b = 7.561 Å, c = 6.612 Å
α = 97.59°, β = 97.59°, γ = 128.11°
Atoms (fractional coordinates):
Ho1 0.000 0.000 0.000
Al1 0.500 0.500 0.500
Br1 0.142 0.409 0.276
Br2 0.259 0.259 0.741
Br3 0.409 0.142 0.276
Br4 0.591 0.858 0.724
Br5 0.741 0.741 0.259
Br6 0.858 0.591 0.724

Results
Spin magnetization: 0.00 μB/f.u.
Space-group type: C2/m, No. 12
E_form (uncorrected): -1.3827 eV/atom

=====

Entry 3:
# TiGaCoTc2

Crystalline TiGaCoTc2 at its relaxed geometry (PBE-GGA, Alexandria via LeMat-Bulk).

a = 4.436 Å, b = 4.436 Å, c = 4.275 Å
α = 90.00°, β = 90.00°, γ = 90.00°
Atoms (fractional coordinates):
Ti1 0.000 0.000 0.000
Ga1 0.500 0.500 0.000
Co1 0.500 0.500 0.500
Tc1 0.000 0.500 0.500
Tc2 0.500 0.000 0.500

Results
Spin magnetization: 0.00 μB/f.u.
E_form: 0.766 eV per atom
Space-group type: P4/mmm, No. 123

=====

Entry 4:
# KMg2Sb2

Crystalline KMg2Sb2 at its relaxed geometry (PBE-GGA, Alexandria via LeMat-Bulk).

a = 8.894 Å, b = 8.894 Å, c = 3.436 Å
α = 90.00°, β = 90.00°, γ = 90.00°
Atoms (fractional coordinates):
K1 0.000 0.000 0.000
K2 0.500 0.500 0.000
Mg1 0.125 0.375 0.000
Mg2 0.375 0.875 0.000
Mg3 0.625 0.125 0.000
Mg4 0.875 0.625 0.000
Sb1 0.167 0.667 0.500
Sb2 0.333 0.167 0.500
Sb3 0.667 0.833 0.500
Sb4 0.833 0.333 0.500

Results
Spin magnetization: 0.00 μB/f.u.
Space-group type: P4/mbm, No. 127
E above lowest polymorph: 130 meV per atom
E_form (uncorrected): -0.3092 eV/atom

=====

Entry 5:
# Hf4ZrIn5

Crystalline Hf4ZrIn5 at its relaxed geometry (PBE-GGA, Alexandria via LeMat-Bulk).

a = 3.790 Å, b = 3.790 Å, c = 15.378 Å
α = 90.00°, β = 90.00°, γ = 90.00°
Atoms (fractional coordinates):
Hf1 0.000 0.000 0.099
Hf2 0.000 0.000 0.299
Hf3 0.000 0.000 0.701
Hf4 0.000 0.000 0.901
Zr1 0.000 0.000 0.500
In1 0.500 0.500 0.000
In2 0.500 0.500 0.200
In3 0.500 0.500 0.399
In4 0.500 0.500 0.601
In5 0.500 0.500 0.800

Results
Spin magnetization: 0.00 μB/f.u.
E_form: -0.053 eV per atom
Space-group type: P4/mmm, No. 123

=====

Entry 6:
# Th2PaIn

Crystalline Th2PaIn at its relaxed geometry (PBE-GGA, Alexandria via LeMat-Bulk).

a = 4.925 Å, b = 4.925 Å, c = 4.703 Å
α = 90.00°, β = 90.00°, γ = 90.00°
Atoms (fractional coordinates):
Th1 0.000 0.500 0.000
Th2 0.500 0.000 0.000
Pa1 0.000 0.000 0.500
In1 0.500 0.500 0.500

Results
Spin magnetization: 0.00 μB/f.u.
E_form: -0.031 eV per atom
Space-group type: P4/mmm, No. 123
E above lowest polymorph: 0 meV per atom

=====

Entry 7:
# LiMg2Cd

Crystalline LiMg2Cd at its relaxed geometry (PBE-GGA, Alexandria via LeMat-Bulk).

a = 3.062 Å, b = 3.062 Å, c = 9.150 Å
α = 90.00°, β = 90.00°, γ = 96.08°
Atoms (fractional coordinates):
Li1 0.000 0.000 0.000
Mg1 0.500 0.500 0.243
Mg2 0.500 0.500 0.757
Cd1 0.000 0.000 0.500

Results
Spin magnetization: 0.00 μB/f.u.
E_form: -0.051 eV per atom
Space-group type: Cmmm, No. 65

=====

Entry 8:
# NaNbF3

Crystalline NaNbF3 at its relaxed geometry (PBE-GGA, Alexandria via LeMat-Bulk).

a = 4.063 Å, b = 4.063 Å, c = 4.063 Å
α = 90.00°, β = 90.00°, γ = 90.00°
Atoms (fractional coordinates):
Na1 0.000 0.000 0.000
Nb1 0.500 0.500 0.500
F1 0.000 0.000 0.500
F2 0.000 0.500 0.000
F3 0.500 0.000 0.000

Results
Spin magnetization: 3.00 μB/f.u.
Space-group type: Pm-3m, No. 221
E above lowest polymorph: 626 meV per atom
E_form (uncorrected): -1.4465 eV/atom

=====

Entry 9:
# TaB2Sb2

Crystalline TaB2Sb2 at its relaxed geometry (PBE-GGA, Alexandria via LeMat-Bulk).

a = 6.654 Å, b = 6.654 Å, c = 3.714 Å
α = 90.00°, β = 90.00°, γ = 90.00°
Atoms (fractional coordinates):
Ta1 0.000 0.000 0.000
Ta2 0.500 0.500 0.000
B1 0.192 0.308 0.000
B2 0.308 0.808 0.000
B3 0.692 0.192 0.000
B4 0.808 0.692 0.000
Sb1 0.156 0.656 0.500
Sb2 0.344 0.156 0.500
Sb3 0.656 0.844 0.500
Sb4 0.844 0.344 0.500

Results
Spin magnetization: 0.00 μB/f.u.
Space-group type: P4/mbm, No. 127
E above lowest polymorph: 0 meV per atom
E_form (uncorrected): 0.7661 eV/atom

=====

Entry 10:
# Ca2In3Ge2

Crystalline Ca2In3Ge2 at its relaxed geometry (PBE-GGA, Alexandria via LeMat-Bulk).

a = 10.587 Å, b = 10.587 Å, c = 4.442 Å
α = 90.00°, β = 90.00°, γ = 158.53°
Atoms (fractional coordinates):
Ca1 0.169 0.831 0.000
Ca2 0.831 0.169 0.000
In1 0.000 0.000 0.000
In2 0.426 0.574 0.500
In3 0.574 0.426 0.500
Ge1 0.289 0.711 0.500
Ge2 0.711 0.289 0.500

Results
Spin magnetization: 0.00 μB/f.u.
E_form: -0.359 eV per atom
Space-group type: Cmmm, No. 65

=====

Entry 11:
# Pm8NdSm4

Crystalline Pm8NdSm4 at its relaxed geometry (PBE-GGA, Alexandria via LeMat-Bulk).

a = 7.924 Å, b = 7.924 Å, c = 7.924 Å
α = 90.90°, β = 90.90°, γ = 90.90°
Atoms (fractional coordinates):
Pm1 0.236 0.236 0.754
Pm2 0.236 0.754 0.236
Pm3 0.237 0.237 0.237
Pm4 0.246 0.764 0.764
Pm5 0.754 0.236 0.236
Pm6 0.763 0.763 0.763
Pm7 0.764 0.246 0.764
Pm8 0.764 0.764 0.246
Nd1 0.500 0.500 0.500
Sm1 0.000 0.000 0.000
Sm2 0.000 0.500 0.500
Sm3 0.500 0.000 0.500
Sm4 0.500 0.500 0.000

Results
Spin magnetization: 0.75 μB/f.u.
E_form: 0.482 eV per atom
Space-group type: R-3m, No. 166

=====

Entry 12:
# BaPrBr

Crystalline BaPrBr at its relaxed geometry (PBE-GGA, Alexandria via LeMat-Bulk).

a = 16.114 Å, b = 4.010 Å, c = 4.010 Å
α = 59.99°, β = 90.00°, γ = 90.00°
Atoms (fractional coordinates):
Ba1 0.203 0.000 0.000
Ba2 0.797 0.000 0.000
Pr1 0.000 0.667 0.667
Pr2 0.500 0.999 0.999
Br1 0.368 0.666 0.666
Br2 0.632 0.666 0.666

Results
Spin magnetization: 0.00 μB/f.u.
Space-group type: Amm2, No. 38
E_form (uncorrected): -0.8095 eV/atom